No. 1
Below is a relaxed PmPr2Ho crystal, with properties calculated at the PBE level.

Properties
Energy relative to the elements: 16 meV/atom
Electronic total energy: -0.3459 Ry per atom
Calculated volume: 34.36 Å³ per atom

Cell: 5.1742 5.1742 5.1341 Å, 90.00 90.00 90.00°
Space group P4/mmm (No. 123)
Inequivalent atoms, fractional coordinates:
1 Pm 0.0000 0.0000 0.0000 x1
2 Pr 0.0000 0.5000 0.5000 x2
3 Ho 0.5000 0.5000 0.0000 x1



No. 2
Below is a relaxed Pm15Pr4Ho crystal, with properties calculated at the PBE level.

Properties
Energy relative to the elements: 15 meV/atom
Electronic total energy: -0.3478 Ry per atom
Calculated volume: 34.58 Å³ per atom

Cell: 5.1741 5.1741 25.8349 Å, 90.00 90.00 90.00°
Space group P4/mmm (No. 123)
Inequivalent atoms, fractional coordinates:
1 Pm 0.0000 0.0000 0.0000 x1
2 Pm 0.0000 0.0000 0.1984 x2
3 Pm 0.0000 0.0000 0.3995 x2
4 Pm 0.0000 0.5000 0.0982 x4
5 Pm 0.0000 0.5000 0.2991 x4
6 Pm 0.0000 0.5000 0.5000 x2
7 Pr 0.5000 0.5000 0.1987 x2
8 Pr 0.5000 0.5000 0.3994 x2
9 Ho 0.5000 0.5000 0.0000 x1



No. 3
Below is a relaxed Pm3PrHo7 crystal, with properties calculated at the PBE level.

Properties
Energy relative to the elements: 146 meV/atom
Electronic total energy: -0.3306 Ry per atom
Calculated volume: 33.09 Å³ per atom

Cell: 5.5423 6.9784 10.0116 Å, 70.04 89.98 89.95°
Space group P-1 (No. 2)
Inequivalent atoms, fractional coordinates:
1 Pm 0.0000 0.0000 0.0000 x1
2 Pm 0.4995 0.7824 0.5017 x2
3 Pr 0.0000 0.5000 0.0000 x1
4 Ho 0.0000 0.0803 0.3304 x2
5 Ho 0.0000 0.5000 0.5000 x1
6 Ho 0.5000 0.1792 0.1400 x2
7 Ho 0.5002 0.3535 0.7884 x2



No. 4
Below is a relaxed PmPr2Ho5 crystal, with properties calculated at the PBE level.

Properties
Energy relative to the elements: 174 meV/atom
Electronic total energy: -0.3290 Ry per atom
Calculated volume: 32.85 Å³ per atom

Cell: 16.3273 9.9446 6.5391 Å, 90.00 98.12 90.00°
Space group C2/c (No. 15)
Inequivalent atoms, fractional coordinates:
1 Pm 0.2500 0.2500 0.0000 x4
2 Pr 0.0778 0.2470 0.1140 x8
3 Ho 0.0000 0.4411 0.7500 x4
4 Ho 0.0995 0.0876 0.6450 x8
5 Ho 0.1970 0.4105 0.5247 x8



No. 5
Below is a relaxed Pm2PrHo3 crystal, with properties calculated at the PBE level.

Properties
Energy relative to the elements: 122 meV/atom
Electronic total energy: -0.3342 Ry per atom
Calculated volume: 33.63 Å³ per atom

Cell: 23.3269 3.5203 10.3683 Å, 90.00 108.55 90.00°
Space group C2/m (No. 12)
Inequivalent atoms, fractional coordinates:
1 Pm 0.0665 0.0000 0.1410 x4
2 Pm 0.1911 0.5000 0.3728 x4
3 Pr 0.1858 0.5000 0.0368 x4
4 Ho 0.0589 0.5000 0.4462 x4
5 Ho 0.0683 0.0000 0.7588 x4
6 Ho 0.1948 0.5000 0.7147 x4



No. 6
Below is a relaxed Pm12Pr2Ho crystal, with properties calculated at the PBE level.

Properties
Energy relative to the elements: 309 meV/atom
Electronic total energy: -0.3259 Ry per atom
Calculated volume: 36.66 Å³ per atom

Cell: 6.5757 6.5757 25.4348 Å, 90.00 90.00 90.00°
Space group P4/nbm (No. 125, origin choice 2)
Inequivalent atoms, fractional coordinates:
1 Pm 0.0638 0.5638 0.1130 x8
2 Pm 0.0826 0.5826 0.5618 x8
3 Pm 0.2500 0.2500 0.2141 x4
4 Pm 0.2500 0.2500 0.3380 x4
5 Pr 0.2500 0.7500 0.2668 x4
6 Ho 0.2500 0.7500 0.0000 x2